The following is a DFT calculation (PBE-GGA) of a geometry-optimized ZrAlAu3 structure.

Structure (POSCAR):
```
ZrAlAu3
1.0
5.8192 0.0000 0.0000
0.0000 4.6235 0.0000
-2.6296 0.0000 6.8935
Zr Al Au
2 2 6
direct
0.2010 0.2500 0.1814
0.7990 0.7500 0.8186
0.2012 0.7500 0.5976
0.7988 0.2500 0.4024
0.1114 0.2500 0.7542
0.3295 0.7500 0.9849
0.4795 0.7500 0.3888
0.5205 0.2500 0.6112
0.6705 0.2500 0.0151
0.8886 0.7500 0.2458
```

Computed properties:
**Formation energy**: -448 meV/atom
**Total magnetic moment**: 0.00 μB per cell
**Space group**: P2_1/m
**Polymorph energy (0 for the lowest one)**: 0 meV per atom
**Theoretical density**: 12697 kg/m3